[1]
20
Lattice="4.988 -4.794 0.000 4.988 4.794 0.000 -1.245 0.000 5.435" Properties=species:S:1:pos:R:3 comment="CaAl2SbO6, optimized geometry, DFT PBE" spacegroup=C2/c formation_energy_uncorrected_mev_per_atom=-2444 pbc="T T T"
Ca 4.054 3.893 4.076
Ca 4.676 -3.893 1.359
Al 2.064 0.842 3.963
Al 2.687 -0.842 1.245
Al 6.044 0.842 4.190
Al 6.666 -0.842 1.472
Sb 4.676 2.094 1.359
Sb 4.054 -2.094 4.076
O 3.423 3.659 1.843
O 2.737 2.215 4.859
O 5.930 3.659 0.874
O 2.787 0.566 2.344
O 5.371 2.215 3.293
O 2.165 -0.566 5.062
O 6.565 0.566 0.374
O 3.359 -2.215 2.142
O 5.943 -0.566 3.091
O 2.800 -3.659 4.561
O 5.994 -2.215 0.576
O 5.307 -3.659 3.592

=====

[2]
20
Lattice="4.930 0.000 0.000 0.000 4.930 0.000 0.000 0.000 24.567" Properties=species:S:1:pos:R:3 comment="Dy15TmSc4, optimized geometry, DFT PBE" formation_enthalpy_0k_kj_per_mol_atoms=3 spacegroup=P4/mmm pbc="T T T"
Dy 0.000 0.000 0.000
Dy 0.000 0.000 4.963
Dy 0.000 0.000 9.843
Dy 0.000 0.000 14.725
Dy 0.000 0.000 19.605
Dy 0.000 2.465 2.518
Dy 0.000 2.465 7.399
Dy 0.000 2.465 12.284
Dy 0.000 2.465 17.168
Dy 0.000 2.465 22.050
Dy 2.465 0.000 2.518
Dy 2.465 0.000 7.399
Dy 2.465 0.000 12.284
Dy 2.465 0.000 17.168
Dy 2.465 0.000 22.050
Tm 2.465 2.465 0.000
Sc 2.465 2.465 4.954
Sc 2.465 2.465 9.842
Sc 2.465 2.465 14.726
Sc 2.465 2.465 19.613

=====

[3]
4
Lattice="-1.398 1.990 5.538 1.398 -1.990 5.538 1.398 1.990 -5.538" Properties=species:S:1:pos:R:3 comment="BeZn2As, optimized geometry, DFT PBE" de_polymorph_mev_per_atom=15.7 formation_enthalpy_0k_kj_per_mol_atoms=18 spacegroup=Imm2 pbc="T T T"
Be 0.000 0.000 0.000
Zn 1.398 0.000 2.137
Zn 0.000 0.000 5.767
As 0.000 1.990 3.557

=====

[4]
5
Lattice="6.682 0.000 0.000 0.000 6.682 0.000 0.000 0.000 5.095" Properties=species:S:1:pos:R:3 comment="SrMg2BBr, optimized geometry, DFT PBE" spacegroup=P4/mmm formation_energy_uncorrected_mev_per_atom=1207 pbc="T T T"
Sr 0.000 0.000 0.000
Mg 0.000 3.341 0.000
Mg 3.341 0.000 0.000
B 0.000 0.000 2.547
Br 3.341 3.341 2.547

=====

[5]
12
Lattice="8.622 0.000 0.000 0.000 4.106 0.000 0.000 0.000 14.322" Properties=species:S:1:pos:R:3 comment="Sr2Cl, optimized geometry, DFT PBE" de_polymorph_mev_per_atom=23.4 spacegroup=Pnma formation_energy_uncorrected_mev_per_atom=-1075 pbc="T T T"
Sr 0.103 1.027 3.530
Sr 1.920 3.080 6.839
Sr 2.391 1.027 14.000
Sr 4.208 3.080 10.692
Sr 4.414 1.027 3.631
Sr 6.231 3.080 0.322
Sr 6.702 1.027 7.484
Sr 8.519 3.080 10.792
Cl 0.614 3.080 1.283
Cl 3.697 1.027 8.444
Cl 4.925 3.080 5.878
Cl 8.008 1.027 13.039

=====

[6]
4
Lattice="3.164 0.000 0.000 0.000 3.164 0.000 0.000 0.000 6.380" Properties=species:S:1:pos:R:3 comment="Re2TcAg, optimized geometry, DFT PBE" de_polymorph_mev_per_atom=324.0 formation_enthalpy_0k_kj_per_mol_atoms=56 spacegroup=P4mm pbc="T T T"
Re 0.000 0.000 0.000
Re 1.582 1.582 1.328
Tc 0.000 0.000 2.809
Ag 1.582 1.582 4.573

=====

[7]
8
Lattice="7.102 -1.867 0.000 7.102 1.867 0.000 -1.591 0.000 8.383" Properties=species:S:1:pos:R:3 comment="TaHI2, optimized geometry, DFT PBE" final_energy_ev_per_cell=-38.53 spacegroup=Cm pbc="T T T"
Ta 0.000 0.000 0.000
Ta 8.959 0.000 0.920
H 1.867 0.000 0.012
H 6.128 0.000 7.844
I 2.613 0.000 3.000
I 6.338 0.000 2.073
I 9.614 0.000 7.680
I 12.818 0.000 5.665

=====

[8]
11
Lattice="3.581 -6.189 0.000 3.581 6.189 0.000 -2.364 0.000 8.211" Properties=species:S:1:pos:R:3 comment="Cs2Ce2DyS6, optimized geometry, DFT PBE" spacegroup=C2/m formation_energy_uncorrected_mev_per_atom=-1844 pbc="T T T"
Cs 3.581 4.128 0.000
Cs 3.581 -4.128 0.000
Ce 2.399 2.055 4.105
Ce 2.399 -2.055 4.105
Dy -1.182 0.000 4.105
S -0.004 2.057 5.553
S 1.164 0.000 2.656
S -0.004 -2.057 5.553
S 4.801 2.057 2.657
S 3.633 0.000 5.555
S 4.801 -2.057 2.657

=====

[9]
5
Lattice="4.589 0.000 0.000 0.000 4.589 0.000 0.000 0.000 5.005" Properties=species:S:1:pos:R:3 comment="ScAlPCl2, optimized geometry, DFT PBE" de_polymorph_mev_per_atom=179.0 spacegroup=P4/mmm formation_energy_uncorrected_mev_per_atom=-502 pbc="T T T"
Sc 0.000 0.000 0.000
Al 2.295 2.295 2.502
P 2.295 2.295 0.000
Cl 0.000 2.295 2.502
Cl 2.295 0.000 2.502

=====

[10]
4
Lattice="2.825 0.000 0.000 0.000 4.535 0.000 -0.720 0.000 5.329" Properties=species:S:1:pos:R:3 comment="CaZnRu2, optimized geometry, DFT PBE" formation_enthalpy_0k_kj_per_mol_atoms=30 spacegroup=P2/m pbc="T T T"
Ca 0.000 0.000 0.000
Zn 1.053 0.000 2.664
Ru 0.326 2.268 3.764
Ru 1.779 2.268 1.564

=====

[11]
7
Lattice="-2.067 2.129 9.119 2.067 -2.129 9.119 2.067 2.129 -9.119" Properties=species:S:1:pos:R:3 comment="TbDy2Ga4, optimized geometry, DFT PBE" formation_enthalpy_0k_kj_per_mol_atoms=-62 spacegroup=Immm pbc="T T T"
Tb 0.000 0.000 0.000
Dy 2.067 0.000 3.369
Dy 0.000 2.129 5.750
Ga 2.067 0.000 6.447
Ga 0.000 0.000 7.900
Ga 0.000 0.000 10.339
Ga 0.000 2.129 2.672

=====

[12]
22
Lattice="0.000 5.206 5.206 5.206 0.000 5.206 5.206 5.206 0.000" Properties=species:S:1:pos:R:3 comment="Cd2Au2O7, optimized geometry, DFT PBE" spacegroup=Fd-3m formation_energy_uncorrected_mev_per_atom=-310 pbc="T T T"
Cd 0.000 0.000 0.000
Cd 2.603 2.603 0.000
Cd 2.603 0.000 2.603
Cd 0.000 2.603 2.603
Au 5.206 2.603 2.603
Au 2.603 5.206 2.603
Au 2.603 2.603 5.206
Au 5.206 5.206 5.206
O 1.301 1.301 1.301
O 3.904 3.904 1.719
O 3.904 1.719 3.904
O 6.090 3.904 3.904
O 6.507 6.507 4.322
O 6.507 4.322 6.507
O 8.693 6.507 6.507
O 1.719 3.904 3.904
O 3.904 6.090 3.904
O 3.904 3.904 6.090
O 4.322 6.507 6.507
O 6.507 8.693 6.507
O 6.507 6.507 8.693
O 9.110 9.110 9.110